TbY6Ho2Th3: relaxed, PBE.

extended XYZ file:
```
12
Lattice="3.0977 -5.3630 0.0000 3.0977 5.3630 0.0000 -2.0693 0.0000 11.5741" Properties=species:S:1:pos:R:3 pbc="T T T"
Tb 0.0000 0.0000 0.0000
Y 1.0307 1.7883 2.9343
Y -0.0011 0.0000 8.6405
Y 1.0307 -1.7883 2.9343
Y 3.0953 1.7883 8.6398
Y 4.1272 0.0000 2.9336
Y 3.0953 -1.7883 8.6398
Ho 3.0977 1.7883 0.0000
Ho 3.0977 -1.7883 0.0000
Th 2.0630 3.5767 5.7870
Th 2.0630 0.0000 5.7870
Th 2.0630 -3.5767 5.7870
```

D(E_F) ... 1.541 states/eV/atom
Uncorrected energy ... -6.2092 eV per atom